(1)
BNF2 at its PBEsol-relaxed geometry, computed with SCAN.

a b c (Å): 3.714 3.714 3.714
angles (deg): 60.00 60.00 60.00
Fractional positions:
1 F 0.250 0.250 0.250
2 F 0.750 0.750 0.750
3 B 0.000 0.000 0.000
4 N 0.500 0.500 0.500

(2)
LiZn2Sb at its PBEsol-relaxed geometry, computed with SCAN.

a b c (Å): 4.675 4.675 4.675
angles (deg): 60.00 60.00 60.00
Fractional positions:
1 Li 0.500 0.500 0.500
2 Sb 0.250 0.250 0.250
3 Zn 0.000 0.000 0.000
4 Zn 0.750 0.750 0.750

(3)
FeSi2Cl at its PBEsol-relaxed geometry, computed with SCAN.

Output
**ΔE to the lowest computed polymorph**: 0.0 meV per atom

a b c (Å): 2.971 2.971 6.884
angles (deg): 90.00 90.00 90.00
Fractional positions:
1 Cl 0.000 0.000 0.568
2 Fe 0.500 0.500 0.800
3 Si 0.000 0.000 0.960
4 Si 0.500 0.500 0.171

Number 1: E_form (uncorrected) 6.3 eV/f.u.. Number 2: E_form (uncorrected) -0.2 eV/f.u.. Number 3: E_form (uncorrected) 1.0 eV/f.u..